Arrangement a

VASP calculation (PBE-GGA) on a relaxed Li2Mg6Cu crystal.

POSCAR file:
```
Li2Mg6Cu
1.0
-1.358 2.596 3.790
-3.198 -2.713 -2.315
1.902 -6.794 5.334
Li Mg Cu
2 6 1
Direct
0.667 0.334 0.722
0.333 0.666 0.278
0.333 0.667 0.945
0.667 0.333 0.055
0.000 0.000 0.192
0.667 0.333 0.407
0.000 0.000 0.808
0.333 0.667 0.593
0.000 0.000 0.500
```

Space-group type ... No. 164

***

Arrangement b

VASP calculation (PBE-GGA) on a relaxed Li2Mg6Cu crystal.

POSCAR file:
```
Li2Mg6Cu
1.0
3.225 0.000 0.000
0.000 8.047 0.000
0.000 -4.024 6.968
Li Mg Cu
2 6 1
Direct
0.000 0.333 0.667
0.000 0.667 0.333
0.500 0.624 0.000
0.500 0.376 0.376
0.500 0.000 0.624
0.000 0.270 0.000
0.000 0.730 0.730
0.000 0.000 0.270
0.500 0.000 0.000
```

Space-group type ... No. 189

***

Most stable to least stable, the ends of the list are arrangement a and arrangement b.

***

Arrangement a

VASP calculation (PBE-GGA) on a relaxed LiMgCuPt crystal.

POSCAR file:
```
LiMgCuPt
1.0
3.968 0.000 0.000
0.000 3.968 0.000
-1.984 -1.983 3.709
Li Mg Cu Pt
1 1 1 1
Direct
0.000 0.000 0.000
0.250 0.750 0.500
0.750 0.250 0.500
0.500 0.500 0.000
```

Space-group type ... No. 119

***

Arrangement b

VASP calculation (PBE-GGA) on a relaxed LiMgCuPt crystal.

POSCAR file:
```
LiMgCuPt
1.0
4.366 0.000 0.000
2.183 3.781 0.000
2.183 1.260 3.564
Mg Cu Pt Li
1 1 1 1
Direct
0.000 0.000 0.000
0.500 0.500 0.500
0.750 0.750 0.750
0.250 0.250 0.250
```

Space-group type ... No. 216

***

Most stable to least stable, the ends of the list are arrangement a and arrangement b.

***

Arrangement a

VASP calculation (PBE-GGA) on a relaxed Sr2LiMgCu crystal.

POSCAR file:
```
Sr2LiMgCu
1.0
5.966 0.000 0.000
0.000 5.966 0.000
0.000 0.000 4.814
Sr Mg Cu Li
2 1 1 1
Direct
0.000 0.500 0.000
0.500 0.000 0.000
0.500 0.500 0.500
0.000 0.000 0.000
0.000 0.000 0.500
```

Space-group type ... No. 123

***

Arrangement b

VASP calculation (PBE-GGA) on a relaxed Sr2LiMgCu crystal.

POSCAR file:
```
Sr2LiMgCu
1.0
5.944 0.000 0.000
0.000 5.944 0.000
0.000 0.000 5.040
Sr Mg Cu Li
2 1 1 1
Direct
0.000 0.500 0.000
0.500 0.000 0.000
0.000 0.000 0.500
0.000 0.000 0.000
0.500 0.500 0.500
```

Space-group type ... No. 123

***

Most stable to least stable, the ends of the list are arrangement b and arrangement a.

***

Arrangement a

VASP calculation (PBE-GGA) on a relaxed LiMnCu2 crystal.

POSCAR file:
```
LiMnCu2
1.0
-3.678 0.055 -2.305
1.394 -0.264 -2.231
-0.285 -4.449 0.349
Cu Li Mn
2 1 1
Direct
0.000 0.125 0.942
0.500 0.125 0.307
0.000 0.625 0.436
0.500 0.625 0.815
```

Space-group type ... No. 25

***

Arrangement b

VASP calculation (PBE-GGA) on a relaxed LiMnCu2 crystal.

POSCAR file:
```
LiMnCu2
1.0
4.577 -0.034 -0.116
1.655 4.268 0.116
-3.059 -2.200 2.601
Cu Li Mn
2 1 1
Direct
0.000 0.000 0.000
0.750 0.250 0.500
0.500 0.500 0.000
0.250 0.750 0.500
```

Space-group type ... No. 44

***

Arrangement c

VASP calculation (PBE-GGA) on a relaxed LiMnCu2 crystal.

POSCAR file:
```
LiMnCu2
1.0
0.000 2.951 2.951
2.951 0.000 2.951
2.951 2.951 0.000
Mn Cu Li
1 2 1
Direct
0.500 0.500 0.500
0.250 0.250 0.250
0.750 0.750 0.750
0.000 0.000 0.000
```

Space-group type ... No. 225

***

Arrangement d

VASP calculation (PBE-GGA) on a relaxed LiMnCu2 crystal.

POSCAR file:
```
LiMnCu2
1.0
-5.027 2.871 2.195
-0.073 -3.533 -2.629
-1.402 -1.353 1.857
Cu Li Mn
2 1 1
Direct
0.000 0.000 0.000
0.500 0.000 0.500
0.000 0.500 0.500
0.500 0.500 0.000
```

Space-group type ... No. 65

***

Most stable to least stable, the ends of the list are arrangement a and arrangement c.

***

Arrangement a

VASP calculation (PBE-GGA) on a relaxed LiMnCu2 crystal.

POSCAR file:
```
LiMnCu2
1.0
-4.261 -0.575 1.678
-2.602 -1.575 3.471
-0.412 3.737 2.466
Cu Li Mn
2 1 1
Direct
0.995 0.995 0.986
0.257 0.257 0.263
0.507 0.507 0.476
0.741 0.741 0.775
```

Space-group type ... No. 8

***

Arrangement b

VASP calculation (PBE-GGA) on a relaxed LiMnCu2 crystal.

POSCAR file:
```
LiMnCu2
1.0
-1.701 -1.318 -1.118
-1.090 -0.399 2.129
-4.475 6.658 -1.045
Cu Li Mn
2 1 1
Direct
0.000 0.000 0.991
0.000 0.000 0.509
0.500 0.500 0.250
0.500 0.500 0.750
```

Space-group type ... No. 123

***

Arrangement c

VASP calculation (PBE-GGA) on a relaxed LiMnCu2 crystal.

POSCAR file:
```
LiMnCu2
1.0
3.319 0.000 0.000
0.000 2.772 0.011
0.000 2.767 5.652
Cu Li Mn
2 1 1
Direct
0.000 0.999 0.000
0.000 0.501 0.500
0.500 0.250 0.250
0.500 0.750 0.750
```

Space-group type ... No. 10

***

Most stable to least stable, the ends of the list are arrangement a and arrangement b.

***

Arrangement a

VASP calculation (PBE-GGA) on a relaxed LiMnCu2 crystal.

POSCAR file:
```
LiMnCu2
1.0
-2.228 1.906 1.968
-2.608 -2.254 -0.769
-0.311 -5.030 7.688
Mn Cu Li
2 4 2
Direct
0.000 0.000 0.000
0.750 0.250 0.500
0.620 0.125 0.250
0.130 0.625 0.250
0.375 0.380 0.750
0.875 0.870 0.750
0.500 0.500 0.000
0.250 0.750 0.500
```

Space-group type ... No. 122

***

Arrangement b

VASP calculation (PBE-GGA) on a relaxed LiMnCu2 crystal.

POSCAR file:
```
LiMnCu2
1.0
-0.917 1.710 2.332
-2.388 -1.829 0.402
3.097 -3.253 3.603
Cu Li Mn
2 1 1
Direct
0.000 0.000 0.010
0.500 0.500 0.245
0.000 0.000 0.475
0.500 0.500 0.770
```

Space-group type ... No. 99

***

Arrangement c

VASP calculation (PBE-GGA) on a relaxed LiMnCu2 crystal.

POSCAR file:
```
LiMnCu2
1.0
-1.981 -0.607 -1.427
1.664 -1.859 0.317
-4.316 -2.650 7.119
Cu Li Mn
2 1 1
Direct
0.000 0.000 0.002
0.500 0.500 0.245
0.000 0.000 0.495
0.500 0.500 0.757
```

Space-group type ... No. 35

***

Arrangement d

VASP calculation (PBE-GGA) on a relaxed LiMnCu2 crystal.

POSCAR file:
```
LiMnCu2
1.0
-2.591 1.421 3.403
-3.916 -0.487 2.175
1.330 -2.995 3.221
Cu Li Mn
2 1 1
Direct
0.003 0.003 0.000
0.497 0.497 0.500
0.250 0.250 0.250
0.750 0.750 0.750
```

Space-group type ... No. 12

***

Most stable to least stable, the ends of the list are arrangement d and arrangement a.